1.
Crystalline TbNdSmSc at its relaxed geometry. Source: the Alexandria database, functional GGA-PBE.

a b c (Å): 7.945 7.945 7.945
angles (deg): 90.00 90.00 90.00
Space group F-43m (No. 216)
Unique sites:
Tb  0.000  0.000  0.000 [4 per cell]
Nd  0.250  0.250  0.750 [4 per cell]
Sm  0.250  0.250  0.250 [4 per cell]
Sc  0.000  0.000  0.500 [4 per cell]

Results
Distance to the lowest polymorph of the same formula (eV/atom): 0.010
Energy of formation from the pure elements (kJ/mol of formula units): 44

2.
Crystalline TbNdSm3Sc at its relaxed geometry. Source: the Alexandria database, functional GGA-PBE.

a b c (Å): 5.021 15.129 10.114
angles (deg): 90.00 90.00 90.00
Space group Cmcm (No. 63)
Unique sites:
Tb  0.000  0.000  0.000 [4 per cell]
Nd  0.000  0.496  0.250 [4 per cell]
Sm  0.000  0.169  0.250 [4 per cell]
Sm  0.000  0.333  0.001 [8 per cell]
Sc  0.000  0.167  0.750 [4 per cell]

Results
Energy of formation from the pure elements (kJ/mol of formula units): 21

3.
Crystalline Tb2NdSm4Sc at its relaxed geometry. Source: the Alexandria database, functional GGA-PBE.

a b c (Å): 5.051 5.051 10.095
angles (deg): 90.00 90.00 90.00
Space group P4/mmm (No. 123)
Unique sites:
Tb  0.000  0.000  0.000 [1 per cell]
Tb  0.500  0.500  0.000 [1 per cell]
Nd  0.000  0.000  0.500 [1 per cell]
Sm  0.000  0.500  0.253 [4 per cell]
Sc  0.500  0.500  0.500 [1 per cell]

Results
Energy of formation from the pure elements (kJ/mol of formula units): 20

4.
Crystalline TbNdSmSc at its relaxed geometry. Source: the Alexandria database, functional GGA-PBE.

a b c (Å): 12.266 5.704 3.787
angles (deg): 90.00 107.86 90.00
Space group Cm (No. 8)
Unique sites:
Tb  0.000  0.000  0.000 [2 per cell]
Nd  0.458  0.000  0.456 [2 per cell]
Sm  0.232  0.500  0.252 [2 per cell]
Sc  0.227  0.000  0.734 [2 per cell]

Results
Distance to the lowest polymorph of the same formula (eV/atom): 0.000
Energy of formation from the pure elements (kJ/mol of formula units): 40